(1)
Density functional theory data (PBE) for a relaxed structure of HfPdPb2.

magnetic moment = 0.000 μB/cell
N(E_F) = 11.286 states/eV/cell
ΔE to the lowest computed polymorph = 58 meV per atom
space group = I-42d (122)
crystal system = tetragonal
E_form = 0.18 eV/atom

Unit cell a=4.4093 b=4.4093 c=20.2174 alpha=90.00 beta=90.00 gamma=90.00
With the nearest neighbours (Å) after each atom.
Sites, in units of the cell vectors:
Hf  0.0000  0.0000  0.0000  4 Pb 2.98, 4 Pd 3.12
Hf  0.0000  0.5000  0.2500  4 Pb 2.98, 4 Pd 3.12
Hf  0.5000  0.0000  0.7500  4 Pb 2.98, 4 Pd 3.12
Hf  0.5000  0.5000  0.5000  4 Pb 2.98, 4 Pd 3.12
Pd  0.0000  0.0000  0.5000  4 Pb 2.96, 4 Hf 3.12
Pd  0.0000  0.5000  0.7500  4 Pb 2.96, 4 Hf 3.12
Pd  0.5000  0.0000  0.2500  4 Pb 2.96, 4 Hf 3.12
Pd  0.5000  0.5000  0.0000  4 Pb 2.96, 4 Hf 3.12
Pb  0.2446  0.2500  0.6250  2 Pd 2.96, 2 Hf 2.98, 4 Pb 3.08-3.15
Pb  0.2500  0.7446  0.8750  2 Pd 2.96, 2 Hf 2.98, 4 Pb 3.08-3.15
Pb  0.2500  0.7554  0.3750  2 Pd 2.96, 2 Hf 2.98, 4 Pb 3.08-3.15
Pb  0.2554  0.2500  0.1250  2 Pd 2.96, 2 Hf 2.98, 4 Pb 3.08-3.15
Pb  0.7446  0.7500  0.1250  2 Pd 2.96, 2 Hf 2.98, 4 Pb 3.08-3.15
Pb  0.7500  0.2446  0.3750  2 Pd 2.96, 2 Hf 2.98, 4 Pb 3.08-3.15
Pb  0.7500  0.2554  0.8750  2 Pd 2.96, 2 Hf 2.98, 4 Pb 3.08-3.15
Pb  0.7554  0.7500  0.6250  2 Pd 2.96, 2 Hf 2.98, 4 Pb 3.08-3.15

=====

(2)
Density functional theory data (PBE) for a relaxed structure of Er3URu4.

magnetic moment = 1.062 μB/cell
N(E_F) = 12.793 states/eV/cell
ΔE to the lowest computed polymorph = 0 meV per atom
space group = Im-3m (229)
crystal system = cubic
E_form = -0.40 eV/atom

Unit cell a=6.7333 b=6.7333 c=6.7333 alpha=90.00 beta=90.00 gamma=90.00
With the nearest neighbours (Å) after each atom.
Sites, in units of the cell vectors:
Er  0.0000  0.0000  0.5000  8 Ru 2.92
Er  0.0000  0.5000  0.0000  8 Ru 2.92
Er  0.0000  0.5000  0.5000  8 Ru 2.92
Er  0.5000  0.0000  0.0000  8 Ru 2.92
Er  0.5000  0.0000  0.5000  8 Ru 2.92
Er  0.5000  0.5000  0.0000  8 Ru 2.92
U  0.0000  0.0000  0.0000  8 Ru 2.92
U  0.5000  0.5000  0.5000  8 Ru 2.92
Ru  0.2500  0.2500  0.2500  2 U 2.92, 6 Er 2.92
Ru  0.2500  0.2500  0.7500  2 U 2.92, 6 Er 2.92
Ru  0.2500  0.7500  0.2500  2 U 2.92, 6 Er 2.92
Ru  0.2500  0.7500  0.7500  2 U 2.92, 6 Er 2.92
Ru  0.7500  0.2500  0.2500  2 U 2.92, 6 Er 2.92
Ru  0.7500  0.2500  0.7500  2 U 2.92, 6 Er 2.92
Ru  0.7500  0.7500  0.2500  2 U 2.92, 6 Er 2.92
Ru  0.7500  0.7500  0.7500  2 U 2.92, 6 Er 2.92

=====

(3)
Density functional theory data (PBE) for a relaxed structure of Sc2Ag2Br.

magnetic moment = 0.000 μB/cell
N(E_F) = 6.149 states/eV/cell
ΔE to the lowest computed polymorph = 0 meV per atom
raw formation energy = -0.3450 eV per atom
space group = P4/mbm (127)
crystal system = tetragonal

Unit cell a=7.3909 b=7.3909 c=4.0848 alpha=90.00 beta=90.00 gamma=90.00
With the nearest neighbours (Å) after each atom.
Sites, in units of the cell vectors:
Sc  0.1625  0.3375  0.0000  2 Br 2.77, 6 Ag 2.96-2.99
Sc  0.3375  0.8375  0.0000  2 Br 2.77, 6 Ag 2.96-2.99
Sc  0.6625  0.1625  0.0000  2 Br 2.77, 6 Ag 2.96-2.99
Sc  0.8375  0.6625  0.0000  2 Br 2.77, 6 Ag 2.96-2.99
Ag  0.1324  0.6324  0.5000  1 Ag 2.77, 6 Sc 2.96-2.99
Ag  0.3676  0.1324  0.5000  1 Ag 2.77, 6 Sc 2.96-2.99
Ag  0.6324  0.8676  0.5000  1 Ag 2.77, 6 Sc 2.96-2.99
Ag  0.8676  0.3676  0.5000  1 Ag 2.77, 6 Sc 2.96-2.99
Br  0.0000  0.0000  0.0000  4 Sc 2.77
Br  0.5000  0.5000  0.0000  4 Sc 2.77

=====

(4)
Density functional theory data (PBE) for a relaxed structure of SiTc2W.

magnetic moment = 0.000 μB/cell
N(E_F) = 5.339 states/eV/cell
raw formation energy = 0.0111 eV per atom
space group = Cmmm (65)
crystal system = orthorhombic

Unit cell a=3.0425 b=4.6333 c=8.2935 alpha=90.00 beta=90.00 gamma=90.00
With the nearest neighbours (Å) after each atom.
Sites, in units of the cell vectors:
Si  0.0000  0.0000  0.0000  4 Tc 2.45
Si  0.5000  0.5000  0.0000  4 Tc 2.45
Tc  0.0000  0.5000  0.2320  2 Si 2.45, 2 W 2.69
Tc  0.0000  0.5000  0.7680  2 Si 2.45, 2 W 2.69
Tc  0.5000  0.0000  0.2320  2 Si 2.45, 2 W 2.69
Tc  0.5000  0.0000  0.7680  2 Si 2.45, 2 W 2.69
W  0.0000  0.0000  0.5000  4 Tc 2.69, 4 W 2.77
W  0.5000  0.5000  0.5000  4 Tc 2.69, 4 W 2.77

=====

(5)
Density functional theory data (PBE) for a relaxed structure of SrYRh2.

magnetic moment = 0.000 μB/cell
N(E_F) = 3.279 states/eV/cell
space group = P4mm (99)
crystal system = tetragonal
E_form = -0.12 eV/atom

Unit cell a=3.8341 b=3.8341 c=6.5032 alpha=90.00 beta=90.00 gamma=90.00
With the nearest neighbours (Å) after each atom.
Sites, in units of the cell vectors:
Sr  0.0000  0.0000  0.0000  5 Rh 2.99-3.01
Y  0.5000  0.5000  0.4128  5 Rh 2.57-2.83
Rh  0.0000  0.0000  0.5376  4 Y 2.83, 1 Sr 3.01
Rh  0.5000  0.5000  0.8073  1 Y 2.57

=====

(6)
Density functional theory data (PBE) for a relaxed structure of Li2TbZn.

magnetic moment = 0.001 μB/cell
N(E_F) = 18.181 states/eV/cell
ΔE to the lowest computed polymorph = 0 meV per atom
space group = Fm-3m (225)
crystal system = cubic
E_form = 0.00 eV/atom

Unit cell a=6.7296 b=6.7296 c=6.7296 alpha=90.00 beta=90.00 gamma=90.00
With the nearest neighbours (Å) after each atom.
Sites, in units of the cell vectors:
Li  0.2500  0.2500  0.2500  4 Tb 2.91, 4 Zn 2.91
Li  0.2500  0.2500  0.7500  4 Tb 2.91, 4 Zn 2.91
Li  0.2500  0.7500  0.2500  4 Tb 2.91, 4 Zn 2.91
Li  0.2500  0.7500  0.7500  4 Tb 2.91, 4 Zn 2.91
Li  0.7500  0.2500  0.2500  4 Tb 2.91, 4 Zn 2.91
Li  0.7500  0.2500  0.7500  4 Tb 2.91, 4 Zn 2.91
Li  0.7500  0.7500  0.2500  4 Tb 2.91, 4 Zn 2.91
Li  0.7500  0.7500  0.7500  4 Tb 2.91, 4 Zn 2.91
Tb  0.0000  0.0000  0.0000  8 Li 2.91
Tb  0.0000  0.5000  0.5000  8 Li 2.91
Tb  0.5000  0.0000  0.5000  8 Li 2.91
Tb  0.5000  0.5000  0.0000  8 Li 2.91
Zn  0.0000  0.0000  0.5000  8 Li 2.91
Zn  0.0000  0.5000  0.0000  8 Li 2.91
Zn  0.5000  0.0000  0.0000  8 Li 2.91
Zn  0.5000  0.5000  0.5000  8 Li 2.91